Record 1
LuTlHg: relaxed, GGA-PBE.

Unit cell a=4.967 b=4.967 c=4.967 alpha=60.00 beta=60.00 gamma=60.00
Element x y z (fractional)
Hg (0.250, 0.250, 0.250)
Lu (0.000, 0.000, 0.000)
Tl (0.750, 0.750, 0.750)

E above lowest polymorph = 193 meV/atom
crystal system = cubic

***

Record 2
GdMgAgTe2S: relaxed, GGA-PBE.

Unit cell a=7.259 b=7.259 c=10.709 alpha=90.00 beta=90.00 gamma=146.94
Element x y z (fractional)
Te (0.344, 0.656, 0.430)
Te (0.656, 0.344, 0.570)
Te (0.656, 0.344, 0.930)
Te (0.344, 0.656, 0.070)
Gd (0.000, 0.000, 0.500)
Gd (0.000, 0.000, 0.000)
Ag (0.514, 0.486, 0.750)
Ag (0.486, 0.514, 0.250)
Mg (0.274, 0.726, 0.750)
Mg (0.726, 0.274, 0.250)
S (0.899, 0.101, 0.750)
S (0.101, 0.899, 0.250)

crystal system = orthorhombic

***

Record 3
Li2NiGe2Au: relaxed, GGA-PBE.

Unit cell a=4.331 b=4.331 c=5.541 alpha=90.00 beta=90.00 gamma=120.00
Element x y z (fractional)
Li (0.667, 0.333, 0.259)
Li (0.667, 0.333, 0.741)
Au (0.000, 0.000, 0.000)
Ge (0.333, 0.667, 0.000)
Ge (0.000, 0.000, 0.500)
Ni (0.333, 0.667, 0.500)

crystal system = hexagonal

***

Record 4
GdDySi2Ni2: relaxed, GGA-PBE.

Unit cell a=4.078 b=4.078 c=6.461 alpha=90.00 beta=90.00 gamma=90.00
Element x y z (fractional)
Si (0.500, 0.500, 0.193)
Si (0.000, 0.000, 0.809)
Dy (0.000, 0.000, 0.316)
Gd (0.500, 0.500, 0.680)
Ni (0.500, 0.000, 0.001)
Ni (0.000, 0.500, 0.001)

crystal system = tetragonal

***

Record 5
SrIrPt: relaxed, GGA-PBE.

Unit cell a=4.636 b=4.636 c=4.636 alpha=60.00 beta=60.00 gamma=60.00
Element x y z (fractional)
Pt (0.250, 0.250, 0.250)
Ir (0.000, 0.000, 0.000)
Sr (0.750, 0.750, 0.750)

E above lowest polymorph = 0 meV/atom
crystal system = cubic

***

Record 6
YZnCuTc: relaxed, GGA-PBE.

Unit cell a=4.620 b=4.620 c=4.620 alpha=60.00 beta=60.00 gamma=60.00
Element x y z (fractional)
Cu (0.750, 0.750, 0.750)
Y (0.250, 0.250, 0.250)
Tc (0.500, 0.500, 0.500)
Zn (0.000, 0.000, 0.000)

DFT formation energy = 347.6 meV per atom
E above lowest polymorph = 141 meV/atom
crystal system = cubic

***

Record 7
BeHgTeOs: relaxed, GGA-PBE.

Unit cell a=4.647 b=4.647 c=4.647 alpha=60.00 beta=60.00 gamma=60.00
Element x y z (fractional)
Os (0.250, 0.250, 0.250)
Te (0.500, 0.500, 0.500)
Be (0.750, 0.750, 0.750)
Hg (0.000, 0.000, 0.000)

E above lowest polymorph = 0 meV/atom
crystal system = cubic

***

Record 8
TbCoSi2Ag: relaxed, GGA-PBE.

Unit cell a=5.813 b=5.813 c=5.813 alpha=139.05 beta=139.05 gamma=59.30
Last column: magnetic moment on the atom in μB.
Element x y z (fractional)
Co (0.500, 0.500, 0.000)  0.84
Tb (0.250, 0.750, 0.500)  0.03
Si (0.866, 0.366, 0.500)  0.01
Si (0.634, 0.134, 0.500)  0.01
Ag (0.000, 0.000, 0.000)  0.03

crystal system = tetragonal

***

Record 9
PtS2: relaxed, GGA-PBE.

Unit cell a=3.579 b=3.579 c=11.092 alpha=90.00 beta=90.00 gamma=120.00
Element x y z (fractional)
Pt (0.667, 0.333, 0.125)
Pt (0.333, 0.667, 0.625)
S (0.000, 0.000, 0.014)
S (0.000, 0.000, 0.514)
S (0.333, 0.667, 0.236)
S (0.667, 0.333, 0.736)

crystal system = hexagonal

***

Record 10
AcNdRe: relaxed, GGA-PBE.

Unit cell a=5.054 b=5.054 c=5.054 alpha=60.00 beta=60.00 gamma=60.00
Element x y z (fractional)
Re (0.000, 0.000, 0.000)
Nd (0.750, 0.750, 0.750)
Ac (0.250, 0.250, 0.250)

DFT formation energy = 411.4 meV per atom
E above lowest polymorph = 0 meV/atom
crystal system = cubic

***

Record 11
AgPdCl3: relaxed, GGA-PBE.

Unit cell a=7.009 b=7.009 c=7.009 alpha=56.48 beta=56.48 gamma=56.48
Element x y z (fractional)
Pd (0.337, 0.337, 0.337)
Pd (0.663, 0.663, 0.663)
Cl (0.442, 0.720, 0.074)
Cl (0.280, 0.926, 0.558)
Cl (0.926, 0.558, 0.280)
Cl (0.074, 0.442, 0.720)
Cl (0.558, 0.280, 0.926)
Cl (0.720, 0.074, 0.442)
Ag (0.855, 0.855, 0.855)
Ag (0.145, 0.145, 0.145)

E above lowest polymorph = 71 meV/atom
crystal system = trigonal

***

Record 12
SrZnSO: relaxed, GGA-PBE.

Unit cell a=6.956 b=6.956 c=6.574 alpha=90.00 beta=90.00 gamma=29.49
Element x y z (fractional)
Sr (0.097, 0.097, 0.864)
Sr (0.903, 0.903, 0.364)
O (0.932, 0.932, 0.997)
O (0.068, 0.068, 0.497)
S (0.714, 0.714, 0.107)
S (0.286, 0.286, 0.607)
Zn (0.355, 0.355, 0.925)
Zn (0.645, 0.645, 0.425)

crystal system = orthorhombic

***

Calculated final energy, -2.39; -4.10; -3.96; -5.98; -5.19; -5.10; -3.63; -5.55; -5.12; -6.69; -3.03; -4.47 eV/atom (same order as the records).